*A*
BaSrCa2Rh PBE-GGA optimized geometry; spin magnetization = 0.0000 μB/atom
1.0
5.726 0.000 0.000
0.000 5.726 0.000
0.000 0.000 5.960
Sr Ca Rh Ba
1 2 1 1
Direct
0.000 0.000 0.500
0.000 0.500 0.000
0.500 0.000 0.000
0.000 0.000 0.000
0.500 0.500 0.500

***

*B*
BaSrCa2Rh PBE-GGA optimized geometry; spin magnetization = 0.0000 μB/atom
1.0
5.744 0.000 0.000
0.000 5.744 0.000
0.000 0.000 6.067
Sr Ca Rh Ba
1 2 1 1
Direct
0.500 0.500 0.500
0.000 0.500 0.000
0.500 0.000 0.000
0.000 0.000 0.000
0.000 0.000 0.500

***

Which one is most stable, and which one is least stable? *A* is the most stable of them, while *B* is the least stable.

***

*A*
BaCa2TlRh PBE-GGA optimized geometry; spin magnetization = 0.0000 μB/atom
1.0
5.485 0.000 0.000
0.000 5.485 0.000
0.000 0.000 5.501
Tl Ca Rh Ba
1 2 1 1
Direct
0.000 0.000 0.500
0.000 0.500 0.000
0.500 0.000 0.000
0.000 0.000 0.000
0.500 0.500 0.500

***

*B*
BaCa2TlRh PBE-GGA optimized geometry; spin magnetization = 0.0000 μB/atom
1.0
-4.391 -0.486 3.326
3.295 -1.708 4.100
0.721 5.659 1.778
Tl Ca Rh Ba
1 2 1 1
Direct
0.500 0.500 0.500
0.000 0.500 0.000
0.500 0.000 0.000
0.000 0.000 0.000
0.000 0.000 0.500

***

Which one is most stable, and which one is least stable? *A* is the most stable of them, while *B* is the least stable.

***

*A*
BaCaY2Rh PBE-GGA optimized geometry; spin magnetization = 0.0000 μB/atom
1.0
5.474 0.000 0.000
0.000 5.474 0.000
0.000 0.000 5.890
Y Ca Rh Ba
2 1 1 1
Direct
0.000 0.500 0.000
0.500 0.000 0.000
0.000 0.000 0.500
0.000 0.000 0.000
0.500 0.500 0.500

***

*B*
BaCaY2Rh PBE-GGA optimized geometry; spin magnetization = 0.0000 μB/atom
1.0
-4.105 1.926 3.096
-3.646 -2.231 -3.447
0.055 -5.202 3.310
Y Ca Rh Ba
2 1 1 1
Direct
0.000 0.500 0.000
0.500 0.000 0.000
0.500 0.500 0.500
0.000 0.000 0.000
0.000 0.000 0.500

***

Which one is most stable, and which one is least stable? *A* is the most stable of them, while *B* is the least stable.

***

*A*
Ba2CaZnRh PBE-GGA optimized geometry; spin magnetization = 0.0000 μB/atom
1.0
-4.650 0.391 -3.850
0.975 -5.707 -1.756
-3.388 -1.782 3.911
Zn Ca Rh Ba
1 1 1 2
Direct
0.500 0.500 0.500
0.000 0.000 0.500
0.000 0.000 0.000
0.000 0.500 0.000
0.500 0.000 0.000

***

*B*
Ba2CaZnRh PBE-GGA optimized geometry; spin magnetization = 0.0000 μB/atom
1.0
6.091 0.000 0.000
0.000 6.091 0.000
0.000 0.000 5.029
Zn Ca Rh Ba
1 1 1 2
Direct
0.000 0.000 0.500
0.500 0.500 0.500
0.000 0.000 0.000
0.000 0.500 0.000
0.500 0.000 0.000

***

Which one is most stable, and which one is least stable? *A* is the most stable of them, while *B* is the least stable.

***

*A*
BaSrCa2Ru PBE-GGA optimized geometry; spin magnetization = 0.0000 μB/atom
1.0
5.765 0.000 0.000
0.000 5.765 0.000
0.000 0.000 5.870
Ru Ca Ba Sr
1 2 1 1
Direct
0.000 0.000 0.000
0.000 0.500 0.000
0.500 0.000 0.000
0.000 0.000 0.500
0.500 0.500 0.500

***

*B*
BaSrCa2Ru PBE-GGA optimized geometry; spin magnetization = 0.0000 μB/atom
1.0
5.714 0.000 0.000
0.000 5.714 0.000
0.000 0.000 5.898
Ru Ca Ba Sr
1 2 1 1
Direct
0.000 0.000 0.000
0.000 0.500 0.000
0.500 0.000 0.000
0.500 0.500 0.500
0.000 0.000 0.500

***

Which one is most stable, and which one is least stable? *B* is the most stable of them, while *A* is the least stable.

***

*A*
BaCaS2 PBE-GGA optimized geometry; spin magnetization = 0.0000 μB/atom
1.0
4.244 0.000 0.000
-2.122 3.676 0.000
0.000 0.000 14.331
Ba Ca S
2 2 4
Direct
0.667 0.333 0.250
0.333 0.667 0.750
0.000 0.000 0.500
0.000 0.000 0.000
0.333 0.667 0.389
0.667 0.333 0.889
0.667 0.333 0.611
0.333 0.667 0.111

***

*B*
BaCaS2 PBE-GGA optimized geometry; spin magnetization = 0.0000 μB/atom
1.0
2.551 0.000 8.445
-1.275 2.209 8.445
-1.275 -2.209 8.445
S Ca Ba
2 1 1
Direct
0.888 0.888 0.888
0.112 0.112 0.112
0.500 0.500 0.500
0.000 0.000 0.000

***

Which one is most stable, and which one is least stable? *A* is the most stable of them, while *B* is the least stable.

***

*A*
BaCaS2 PBE-GGA optimized geometry; spin magnetization = 0.0000 μB/atom
1.0
-2.514 -1.751 -2.890
1.647 -1.611 -3.525
0.432 -7.603 1.160
Ba Ca S
1 1 2
Direct
0.498 0.498 0.505
0.668 0.668 0.996
0.074 0.074 0.778
0.260 0.260 0.221

***

*B*
BaCaS2 PBE-GGA optimized geometry; spin magnetization = 0.0000 μB/atom
1.0
2.761 0.000 8.313
-1.381 2.391 8.313
-1.381 -2.391 8.313
S Ca Ba
2 1 1
Direct
0.899 0.899 0.899
0.101 0.101 0.101
0.000 0.000 0.000
0.500 0.500 0.500

***

*C*
BaCaS2 PBE-GGA optimized geometry; spin magnetization = 0.0000 μB/atom
1.0
0.000 3.698 3.698
3.698 0.000 3.698
3.698 3.698 0.000
S Ca Ba
2 1 1
Direct
0.250 0.250 0.250
0.750 0.750 0.750
0.000 0.000 0.000
0.500 0.500 0.500

***

Which one is most stable, and which one is least stable? *A* is the most stable of them, while *B* is the least stable.

***

*A*
BaCaS2 PBE-GGA optimized geometry; spin magnetization = 0.0000 μB/atom
1.0
-4.782 1.777 -4.552
-4.833 -0.777 4.774
-4.138 6.568 1.776
S Ca Ba
4 2 2
Direct
0.586 0.125 0.250
0.164 0.625 0.250
0.375 0.414 0.750
0.875 0.836 0.750
0.500 0.500 0.000
0.250 0.750 0.500
0.000 0.000 0.000
0.750 0.250 0.500

***

*B*
BaCaS2 PBE-GGA optimized geometry; spin magnetization = 0.0000 μB/atom
1.0
4.299 -0.001 -0.004
-2.149 3.723 0.004
-2.144 -1.244 7.061
Ba Ca S
1 1 2
Direct
0.000 0.500 0.500
0.000 0.000 0.000
0.518 0.259 0.778
0.482 0.741 0.222

***

Which one is most stable, and which one is least stable? *B* is the most stable of them, while *A* is the least stable.